[1]
Pm5Pr2SmTm | GGA-PBE | relaxed

Results
**Symmetry**: No. 140
**Formation enthalpy at 0 K**: 236 kJ/mol of formula units
**Density of states at the Fermi level**: 27.2 states/eV per cell
**Spin magnetization**: 0.00 Bohr magnetons per cell

Structure (POSCAR):
```
Pm5Pr2SmTm
1.0
-3.508 -6.833 -4.172
7.881 -2.144 -3.115
-0.867 -0.193 10.202
Tm Pm Pr Sm
2 10 4 2
Direct
0.250 0.750 0.500
0.750 0.250 0.500
0.357 0.857 0.284
0.427 0.357 0.284
0.573 0.643 0.716
0.500 0.500 0.000
0.143 0.073 0.716
0.000 0.000 0.000
0.927 0.427 0.284
0.643 0.143 0.716
0.073 0.573 0.716
0.857 0.927 0.284
0.380 0.880 0.000
0.120 0.380 0.000
0.620 0.120 0.000
0.880 0.620 0.000
0.250 0.250 0.500
0.750 0.750 0.500
```

=====

[2]
PmPr6Sm2Tm3 | GGA-PBE | relaxed

Results
**Symmetry**: No. 12
**Formation enthalpy at 0 K**: 18 kJ/mol of formula units
**Density of states at the Fermi level**: 13.8 states/eV per cell
**Spin magnetization**: 0.00 Bohr magnetons per cell

Structure (POSCAR):
```
PmPr6Sm2Tm3
1.0
-6.206 -1.032 -0.655
4.152 -4.394 -1.863
0.359 -3.039 11.536
Pr Tm Pm Sm
6 3 1 2
Direct
0.915 0.582 0.746
0.085 0.418 0.254
0.249 0.249 0.746
0.582 0.915 0.746
0.751 0.751 0.254
0.418 0.085 0.254
0.500 0.500 0.500
0.167 0.833 0.500
0.833 0.167 0.500
0.000 0.000 0.000
0.333 0.667 0.000
0.667 0.333 0.000
```

=====

[3]
PmPrSm2Tm4 | GGA-PBE | relaxed

Results
**Symmetry**: No. 74
**Formation enthalpy at 0 K**: 323 kJ/mol of formula units
**Density of states at the Fermi level**: 36.5 states/eV per cell
**Spin magnetization**: 4.53 Bohr magnetons per cell

Structure (POSCAR):
```
PmPrSm2Tm4
1.0
-4.617 -0.308 8.303
-6.275 -6.278 -3.401
11.654 0.523 -1.918
Sm Tm Pm Pr
4 8 2 2
Direct
0.500 0.000 0.500
0.500 0.000 0.000
0.000 0.000 0.500
0.500 0.500 0.000
0.749 0.250 0.000
0.250 0.249 0.999
0.750 0.751 0.001
0.251 0.750 0.000
0.251 0.250 0.501
0.250 0.751 0.500
0.750 0.249 0.500
0.749 0.750 0.499
0.500 0.500 0.500
0.000 0.000 0.000
0.000 0.500 0.000
0.000 0.500 0.500
```

=====

[4]
PmPrSm2Tm | GGA-PBE | relaxed

Results
**Symmetry**: No. 13
**Formation enthalpy at 0 K**: 135 kJ/mol of formula units
**Density of states at the Fermi level**: 13.0 states/eV per cell
**Spin magnetization**: 0.00 Bohr magnetons per cell

Structure (POSCAR):
```
PmPrSm2Tm
1.0
-2.152 3.918 4.772
-3.678 -6.630 3.785
5.465 -0.686 3.028
Tm Sm Pm Pr
2 4 2 2
Direct
0.833 0.500 0.250
0.167 0.500 0.750
0.309 0.313 0.226
0.691 0.687 0.774
0.691 0.313 0.726
0.309 0.687 0.274
0.438 0.000 0.750
0.562 0.000 0.250
0.000 0.000 0.500
0.000 0.000 0.000
```

=====

[5]
Pm3Pr6Sm2Tm | GGA-PBE | relaxed

Results
**Symmetry**: No. 12
**Formation enthalpy at 0 K**: 15 kJ/mol of formula units
**Density of states at the Fermi level**: 16.7 states/eV per cell
**Spin magnetization**: 0.00 Bohr magnetons per cell

Structure (POSCAR):
```
Pm3Pr6Sm2Tm
1.0
-3.747 4.943 1.421
-2.375 -5.904 0.016
4.922 -0.804 11.020
Pr Sm Pm Tm
6 2 3 1
Direct
0.249 0.249 0.752
0.751 0.751 0.248
0.083 0.415 0.248
0.917 0.585 0.752
0.415 0.083 0.248
0.585 0.917 0.752
0.667 0.333 0.000
0.333 0.667 0.000
0.500 0.500 0.500
0.833 0.167 0.500
0.167 0.833 0.500
0.000 0.000 0.000
```

=====

[6]
Pm3Pr2Sm6Tm | GGA-PBE | relaxed

Results
**Symmetry**: No. 12
**Formation enthalpy at 0 K**: 16 kJ/mol of formula units
**Density of states at the Fermi level**: 16.9 states/eV per cell
**Spin magnetization**: 0.00 Bohr magnetons per cell

Structure (POSCAR):
```
Pm3Pr2Sm6Tm
1.0
6.296 0.000 0.002
-3.146 5.453 0.002
-1.057 -1.830 11.888
Sm Pm Tm Pr
6 3 1 2
Direct
0.585 0.917 0.750
0.249 0.249 0.750
0.415 0.083 0.250
0.751 0.751 0.250
0.083 0.415 0.250
0.917 0.585 0.750
0.833 0.167 0.500
0.167 0.833 0.500
0.500 0.500 0.500
0.000 0.000 0.000
0.667 0.333 0.000
0.333 0.667 0.000
```

=====

> What is the spin magnetization in the second record?

0.00 Bohr magnetons per cell

=====

> density of states at the Fermi level of number 5 (Pm3Pr6Sm2Tm)?

16.7 states/eV per cell